1.
## TlRuBr2 (GGA-PBE)

Data for crystalline TlRuBr2 at its relaxed geometry.

Cell lengths 3.8394, 6.9005, 6.8875 Å; angles 45.68, 90.00, 90.00 degrees
Positions (direct):
Br  0.0000  0.3817  0.3817
Br  0.0000  0.1183  0.1183
Ru  0.5000  0.2500  0.2500
Tl  0.5000  0.7500  0.7500

## Properties
- calculated volume (Å³/cell) = 130.5
- calculated total energy (eV per atom) = -3.821
- symmetry = P2/m, No. 10

2.
## Tl3RuBr6 (GGA-PBE)

Data for crystalline Tl3RuBr6 at its relaxed geometry.

Cell lengths 7.3988, 7.3988, 8.2262 Å; angles 111.11, 111.11, 101.49 degrees
Positions (direct):
Br  0.0595  0.0595  0.7382
Br  0.2220  0.7780  0.0000
Br  0.7780  0.2220  0.0000
Br  0.9405  0.9405  0.2618
Br  0.6786  0.6786  0.7382
Br  0.3214  0.3214  0.2618
Ru  0.0000  0.0000  0.0000
Tl  0.2500  0.7500  0.5000
Tl  0.5000  0.5000  0.0000
Tl  0.7500  0.2500  0.5000

## Properties
- calculated volume (Å³/cell) = 362.9
- calculated total energy (eV per atom) = -3.184
- symmetry = Fmmm, No. 69

3.
## TlRu2Br (GGA-PBE)

Data for crystalline TlRu2Br at its relaxed geometry.

Cell lengths 4.6451, 4.6451, 4.6451 Å; angles 60.00, 60.00, 60.00 degrees
Positions (direct):
Ru  0.2500  0.2500  0.2500
Ru  0.7500  0.7500  0.7500
Br  0.0000  0.0000  0.0000
Tl  0.5000  0.5000  0.5000

## Properties
- calculated volume (Å³/cell) = 70.9
- calculated total energy (eV per atom) = -4.622
- symmetry = Fm-3m, No. 225